Material: TaMnN2O
Method: DFT, GGA+U
State: relaxed

Results
The calculated volume comes out at 10.22 A^3/atom. The calculation puts the uncorrected energy at -0.2924 hartree per atom. The value obtained for the total magnetization is 2.94 μB per cell.

Lattice parameters (Å, degrees): 3.784 3.784 3.569 90.00 90.00 90.00
Space group P4/mmm (No. 123)
One atom of each set of equivalent atoms:
1 Ta 0.000 0.000 0.000 x1
2 Mn 0.500 0.500 0.500 x1
3 N 0.000 0.500 0.500 x2
4 O 0.500 0.500 0.000 x1